Below is an optimized crystal structure of Zr2Pd2Au, with properties calculated at the PBE level.

a = 7.669 Å, b = 7.669 Å, c = 3.387 Å
α = 90.00°, β = 90.00°, γ = 90.00°
Sites, in units of the cell vectors:
Zr1 0.163 0.337 0.000
Zr2 0.337 0.837 0.000
Zr3 0.663 0.163 0.000
Zr4 0.837 0.663 0.000
Pd1 0.130 0.630 0.500
Pd2 0.370 0.130 0.500
Pd3 0.630 0.870 0.500
Pd4 0.870 0.370 0.500
Au1 0.000 0.000 0.000
Au2 0.500 0.500 0.000

Excess energy over the best structure of this formula in the dataset = 0.2570 eV/atom
Formation energy = -0.39 eV/atom
Magnetization = 0.000 μB/f.u.

---

Below is an optimized crystal structure of HgHRh2, with properties calculated at the PBE level.

a = 2.906 Å, b = 2.907 Å, c = 6.490 Å
α = 77.08°, β = 77.13°, γ = 89.82°
Sites, in units of the cell vectors:
Hg1 0.000 0.000 0.000
H1 0.930 0.809 0.387
Rh1 0.336 0.319 0.362
Rh2 0.666 0.665 0.669

Excess energy over the best structure of this formula in the dataset = 0.0139 eV/atom
Magnetization = 0.783 μB/f.u.

---

Below is an optimized crystal structure of SrLaMn2, with properties calculated at the PBE level.

a = 8.242 Å, b = 8.242 Å, c = 6.662 Å
α = 90.00°, β = 90.00°, γ = 90.00°
Sites, in units of the cell vectors:
Sr1 0.000 0.000 0.000
Sr2 0.000 0.500 0.250
Sr3 0.500 0.000 0.750
Sr4 0.500 0.500 0.500
La1 0.000 0.000 0.500
La2 0.000 0.500 0.750
La3 0.500 0.000 0.250
La4 0.500 0.500 0.000
Mn1 0.236 0.250 0.625
Mn2 0.250 0.736 0.875
Mn3 0.250 0.764 0.375
Mn4 0.264 0.250 0.125
Mn5 0.736 0.750 0.125
Mn6 0.750 0.236 0.375
Mn7 0.750 0.264 0.875
Mn8 0.764 0.750 0.625

Excess energy over the best structure of this formula in the dataset = 0.5561 eV/atom
Formation energy = 0.82 eV/atom
Magnetization = 6.160 μB/f.u.

---

Below is an optimized crystal structure of RbPdI, with properties calculated at the PBE level.

a = 5.780 Å, b = 5.780 Å, c = 6.285 Å
α = 90.00°, β = 90.00°, γ = 90.00°
Sites, in units of the cell vectors:
Rb1 0.250 0.250 0.104
Rb2 0.750 0.750 0.896
Pd1 0.250 0.250 0.595
Pd2 0.750 0.750 0.405
I1 0.250 0.750 0.500
I2 0.750 0.250 0.500

Excess energy over the best structure of this formula in the dataset = 0.3659 eV/atom
Magnetization = 0.000 μB/f.u.

---

Below is an optimized crystal structure of NdTlAg2, with properties calculated at the PBE level.

a = 4.723 Å, b = 4.723 Å, c = 4.416 Å
α = 90.00°, β = 90.00°, γ = 90.00°
Sites, in units of the cell vectors:
Nd1 0.000 0.000 0.000
Tl1 0.500 0.500 0.000
Ag1 0.000 0.500 0.500
Ag2 0.500 0.000 0.500

Excess energy over the best structure of this formula in the dataset = 0.1204 eV/atom
Formation energy = -0.12 eV/atom
Magnetization = 0.000 μB/f.u.

---

Below is an optimized crystal structure of LiZn2As, with properties calculated at the PBE level.

a = 8.768 Å, b = 2.912 Å, c = 5.397 Å
α = 90.00°, β = 104.48°, γ = 90.00°
Sites, in units of the cell vectors:
Li1 0.000 0.000 0.000
Li2 0.500 0.500 0.000
Zn1 0.024 0.500 0.476
Zn2 0.270 0.500 0.274
Zn3 0.524 0.000 0.476
Zn4 0.770 0.000 0.274
As1 0.244 0.000 0.813
As2 0.744 0.500 0.813

Formation energy = -0.12 eV/atom
Magnetization = 0.000 μB/f.u.

---

| no. | DFT total energy (eV per atom) |
| --- | --- |
| 1 | -6.54 |
| 2 | -4.45 |
| 3 | -5.42 |
| 4 | -2.88 |
| 5 | -3.33 |
| 6 | -2.40 |